(1)
Below is Ti3Al3OsRh2 after structural relaxation, with properties calculated at the PBE level.

Cell: 2.9835 7.3247 7.3247 Å, 120.00 90.00 90.00°
Sites, in units of the cell vectors:
Ti1 0.5000 0.7148 0.0000
Ti2 0.5000 0.0000 0.7148
Ti3 0.5000 0.2852 0.2852
Al1 0.0000 0.0000 0.3757
Al2 0.0000 0.3757 0.0000
Al3 0.0000 0.6243 0.6243
Os1 0.0000 0.0000 0.0000
Rh1 0.5000 0.6667 0.3333
Rh2 0.5000 0.3333 0.6667

- Energy relative to the elements: -0.677 eV/atom
- Theoretical density: 7.434 g cm⁻³
- Calculated volume: 15.40 A^3/atom
- Raw total energy: -7.44 eV per atom
- DOS(E_F): 4.9 states/eV/f.u.

---

(2)
Below is Ce2Al2CdPd5 after structural relaxation, with properties calculated at the PBE level.

Cell: 3.2160 10.8436 10.8436 Å, 90.00 90.00 90.00°
Sites, in units of the cell vectors:
Pd1 0.5000 0.5576 0.7074
Pd2 0.5000 0.7074 0.4424
Pd3 0.5000 0.2926 0.5576
Pd4 0.5000 0.7926 0.9424
Pd5 0.5000 0.9424 0.2074
Pd6 0.5000 0.0576 0.7926
Pd7 0.5000 0.4424 0.2926
Pd8 0.5000 0.5000 0.0000
Pd9 0.5000 0.0000 0.5000
Pd10 0.5000 0.2074 0.0576
Cd1 0.0000 0.0000 0.0000
Cd2 0.0000 0.5000 0.5000
Ce1 0.0000 0.8240 0.6760
Ce2 0.0000 0.6760 0.1760
Ce3 0.0000 0.3240 0.8240
Ce4 0.0000 0.1760 0.3240
Al1 0.0000 0.8743 0.3743
Al2 0.0000 0.1257 0.6257
Al3 0.0000 0.3743 0.1257
Al4 0.0000 0.6257 0.8743

- Energy relative to the elements: -0.628 eV/atom
- Theoretical density: 8.595 g cm⁻³
- Calculated volume: 18.91 A^3/atom
- Raw total energy: -5.25 eV per atom
- DOS(E_F): 15.2 states/eV/f.u.

---

(3)
Below is Tb2Ce2Sb2C after structural relaxation, with properties calculated at the PBE level.

Cell: 4.8444 4.8444 8.8069 Å, 105.96 105.96 90.00°
Sites, in units of the cell vectors:
Ce1 0.1601 0.1601 0.3202
Ce2 0.8399 0.8399 0.6798
Sb1 0.6367 0.6367 0.2734
Sb2 0.3633 0.3633 0.7266
Tb1 0.0000 0.5000 0.0000
Tb2 0.5000 0.0000 0.0000
C1 0.0000 0.0000 0.0000

- Theoretical density: 7.444 g cm⁻³
- ΔE_f (raw): -0.75 eV/atom
- Calculated volume: 27.20 A^3/atom
- Raw total energy: -6.27 eV per atom
- DOS(E_F): 15.8 states/eV/f.u.

---

(4)
Below is K2CaPaSe4 after structural relaxation, with properties calculated at the PBE level.

Cell: 4.3043 7.4352 8.0455 Å, 107.80 90.00 90.00°
Sites, in units of the cell vectors:
Se1 0.0000 0.2506 0.7944
Se2 0.0000 0.7494 0.2056
Se3 0.5000 0.2258 0.2068
Se4 0.5000 0.7742 0.7932
Ca1 0.5000 0.5000 0.0000
K1 0.0000 0.5000 0.5000
K2 0.5000 0.0000 0.5000
Pa1 0.0000 0.0000 0.0000

- Theoretical density: 4.505 g cm⁻³
- ΔE_f (raw): -1.56 eV/atom
- Calculated volume: 30.64 A^3/atom
- Raw total energy: -5.01 eV per atom
- DOS(E_F): 5.7 states/eV/f.u.